(a)
Density functional theory data (PBE-GGA) for a geometry-optimized Ca2TcF structure.

Theoretical density   3.6 Mg/m³
Crystal system   tetragonal
Calculated volume   365.5 Å³/cell

abc: 6.8477 6.8477 7.7951
angles: 90.00 90.00 90.00
Space group I-42d (No. 122)
Asymmetric unit:
Ca  0.1684  0.7500  0.1250 [8 per cell]
Tc  0.0000  0.0000  0.5000 [4 per cell]
F  0.0000  0.0000  0.0000 [4 per cell]


(b)
Density functional theory data (PBE-GGA) for a geometry-optimized Ca2TcF structure.

Theoretical density   3.7 Mg/m³
Crystal system   cubic
Calculated volume   357.9 Å³/cell

abc: 7.1001 7.1001 7.1001
angles: 90.00 90.00 90.00
Space group Fm-3m (No. 225)
Asymmetric unit:
Ca  0.2500  0.2500  0.2500 [8 per cell]
Tc  0.0000  0.0000  0.0000 [4 per cell]
F  0.0000  0.0000  0.5000 [4 per cell]


It is (a) that is most stable; the runner-up trails by 512 meV per atom.